Record 1
A relaxed structure of Ir2OsW. Source: Alexandria via LeMat-Bulk, functional GGA-PBE.

Cell lengths 4.792, 4.792, 4.792 Å; angles 132.26, 132.26, 69.81 degrees
Atoms (fractional coordinates):
Ir: 0.250 0.750 0.500
Ir: 0.750 0.250 0.500
Os: 0.000 0.000 0.000
W: 0.500 0.500 0.000

Calculated values
Density of states at the Fermi level = 0.6795 states/eV/atom
Space-group type = I4/mmm (139)
Formation energy = -4.05 kcal/mol of atoms
Energy relative to the lowest polymorph listed for this composition = 45 meV per atom
Total DFT energy (no corrections) = -10.652 eV per atom

Record 2
A relaxed structure of Ir2OsW. Source: Alexandria via LeMat-Bulk, functional GGA-PBE.

Cell lengths 4.412, 4.412, 4.412 Å; angles 60.00, 60.00, 60.00 degrees
Atoms (fractional coordinates):
Ir: 0.000 0.000 0.000
Ir: 0.250 0.250 0.250
Os: 0.750 0.750 0.750
W: 0.500 0.500 0.500

Calculated values
Density of states at the Fermi level = 1.1344 states/eV/atom
Space-group type = F-43m (216)
Formation energy = 8.68 kcal/mol of atoms
Energy relative to the lowest polymorph listed for this composition = 597 meV per atom
Total DFT energy (no corrections) = -10.100 eV per atom

Record 3
A relaxed structure of IrOsW. Source: Alexandria via LeMat-Bulk, functional GGA-PBE.

Cell lengths 4.398, 4.398, 2.747 Å; angles 90.00, 90.00, 120.00 degrees
Atoms (fractional coordinates):
Ir: 0.000 0.000 0.000
Os: 0.333 0.667 0.500
W: 0.667 0.333 0.500

Calculated values
Density of states at the Fermi level = 0.9547 states/eV/atom
Space-group type = P-6m2 (187)
Formation energy = 3.60 kcal/mol of atoms
Energy relative to the lowest polymorph listed for this composition = 357 meV per atom
Total DFT energy (no corrections) = -10.858 eV per atom

Record 4
A relaxed structure of IrOsW. Source: Alexandria via LeMat-Bulk, functional GGA-PBE.

Cell lengths 4.401, 4.849, 4.849 Å; angles 59.92, 90.00, 90.00 degrees
Atoms (fractional coordinates):
Ir: 0.250 0.166 0.834
Ir: 0.750 0.834 0.166
Os: 0.250 0.828 0.500
Os: 0.750 0.500 0.828
W: 0.250 0.503 0.155
W: 0.750 0.155 0.503

Calculated values
Density of states at the Fermi level = 0.9360 states/eV/atom
Space-group type = Ama2 (40)
Formation energy = -3.11 kcal/mol of atoms
Energy relative to the lowest polymorph listed for this composition = 66 meV per atom
Total DFT energy (no corrections) = -11.150 eV per atom

Record 5
A relaxed structure of Ir2OsW. Source: Alexandria via LeMat-Bulk, functional GGA-PBE.

Cell lengths 4.786, 4.786, 2.754 Å; angles 90.00, 90.00, 110.26 degrees
Atoms (fractional coordinates):
Ir: 0.000 0.500 0.000
Ir: 0.500 0.000 0.000
Os: 0.000 0.000 0.500
W: 0.500 0.500 0.500

Calculated values
Density of states at the Fermi level = 1.0046 states/eV/atom
Space-group type = Cmmm (65)
Formation energy = -2.65 kcal/mol of atoms
Energy relative to the lowest polymorph listed for this composition = 106 meV per atom
Total DFT energy (no corrections) = -10.591 eV per atom

Record 6
A relaxed structure of Ir3OsW. Source: Alexandria via LeMat-Bulk, functional GGA-PBE.

Cell lengths 4.685, 4.685, 4.685 Å; angles 90.00, 90.00, 90.00 degrees
Atoms (fractional coordinates):
Ir: 0.000 0.000 0.500
Ir: 0.000 0.500 0.000
Ir: 0.500 0.000 0.000
Os: 0.500 0.500 0.500
W: 0.000 0.000 0.000

Calculated values
Density of states at the Fermi level = 1.1385 states/eV/atom
Space-group type = Pm-3m (221)
Formation energy = 52.77 kcal/mol of atoms
Energy relative to the lowest polymorph listed for this composition = 0 meV per atom
Total DFT energy (no corrections) = -7.865 eV per atom

Record 7
A relaxed structure of Ir2OsW. Source: Alexandria via LeMat-Bulk, functional GGA-PBE.

Cell lengths 2.746, 3.924, 5.496 Å; angles 90.00, 90.00, 90.00 degrees
Atoms (fractional coordinates):
Ir: 0.000 0.000 0.245
Ir: 0.000 0.000 0.755
Os: 0.500 0.500 0.000
W: 0.500 0.500 0.500

Calculated values
Density of states at the Fermi level = 1.0452 states/eV/atom
Space-group type = Pmmm (47)
Formation energy = -2.57 kcal/mol of atoms
Energy relative to the lowest polymorph listed for this composition = 109 meV per atom
Total DFT energy (no corrections) = -10.588 eV per atom

Record 8
A relaxed structure of Ir4OsW. Source: Alexandria via LeMat-Bulk, functional GGA-PBE.

Cell lengths 7.907, 7.907, 4.507 Å; angles 90.00, 90.00, 139.42 degrees
Atoms (fractional coordinates):
Ir: 0.105 0.394 0.750
Ir: 0.209 0.287 0.250
Ir: 0.287 0.209 0.750
Ir: 0.394 0.105 0.250
Ir: 0.606 0.895 0.750
Ir: 0.713 0.791 0.250
Ir: 0.791 0.713 0.750
Ir: 0.895 0.606 0.250
Os: 0.196 0.804 0.750
Os: 0.804 0.196 0.250
W: 0.303 0.697 0.250
W: 0.697 0.303 0.750

Calculated values
Density of states at the Fermi level = 0.9674 states/eV/atom
Space-group type = Cmcm (63)
Formation energy = 0.37 kcal/mol of atoms
Energy relative to the lowest polymorph listed for this composition = 0 meV per atom
Total DFT energy (no corrections) = -9.922 eV per atom

Record 9
A relaxed structure of IrOsW. Source: Alexandria via LeMat-Bulk, functional GGA-PBE.

Cell lengths 4.819, 4.819, 4.819 Å; angles 146.84, 132.18, 59.43 degrees
Atoms (fractional coordinates):
Ir: 0.000 0.000 0.000
Os: 0.332 0.332 0.000
W: 0.669 0.669 0.000

Calculated values
Density of states at the Fermi level = 1.1194 states/eV/atom
Space-group type = Imm2 (44)
Formation energy = -0.92 kcal/mol of atoms
Energy relative to the lowest polymorph listed for this composition = 161 meV per atom
Total DFT energy (no corrections) = -11.054 eV per atom

Record 10
A relaxed structure of Ir2OsW. Source: Alexandria via LeMat-Bulk, functional GGA-PBE.

Cell lengths 2.760, 2.760, 7.827 Å; angles 90.00, 90.00, 90.00 degrees
Atoms (fractional coordinates):
Ir: 0.000 0.000 0.000
Ir: 0.500 0.500 0.263
Os: 0.000 0.000 0.498
W: 0.500 0.500 0.759

Calculated values
Density of states at the Fermi level = 0.7087 states/eV/atom
Space-group type = P4mm (99)
Formation energy = -1.22 kcal/mol of atoms
Energy relative to the lowest polymorph listed for this composition = 168 meV per atom
Total DFT energy (no corrections) = -10.529 eV per atom

Record 11
A relaxed structure of Ir2OsW. Source: Alexandria via LeMat-Bulk, functional GGA-PBE.

Cell lengths 9.100, 9.100, 9.100 Å; angles 17.48, 17.48, 17.48 degrees
Atoms (fractional coordinates):
Ir: 0.249 0.249 0.249
Ir: 0.751 0.751 0.751
Os: 0.500 0.500 0.500
W: 0.000 0.000 0.000

Calculated values
Density of states at the Fermi level = 0.9523 states/eV/atom
Space-group type = R-3m (166)
Formation energy = -0.25 kcal/mol of atoms
Energy relative to the lowest polymorph listed for this composition = 210 meV per atom
Total DFT energy (no corrections) = -10.487 eV per atom

Record 12
A relaxed structure of IrOsW. Source: Alexandria via LeMat-Bulk, functional GGA-PBE.

Cell lengths 2.761, 2.761, 6.815 Å; angles 90.00, 90.00, 120.00 degrees
Atoms (fractional coordinates):
Ir: 0.000 0.000 0.000
Os: 0.333 0.667 0.338
W: 0.667 0.333 0.667

Calculated values
Density of states at the Fermi level = 1.0294 states/eV/atom
Space-group type = P3m1 (156)
Formation energy = 0.99 kcal/mol of atoms
Energy relative to the lowest polymorph listed for this composition = 244 meV per atom
Total DFT energy (no corrections) = -10.972 eV per atom